! Ir2PtPb (GGA-PBEsol, optimized geometry); values from VASP
&SYSTEM
  ibrav = 0, nat = 4, ntyp = 3
/
ATOMIC_SPECIES
Ir 192.22 Ir.upf
Pt 195.08 Pt.upf
Pb 207.20 Pb.upf
ATOMIC_POSITIONS crystal
Ir 0.0000 0.5000 0.0000
Ir 0.5000 0.0000 0.0000
Pt 0.0000 0.0000 0.5000
Pb 0.5000 0.5000 0.5000
CELL_PARAMETERS angstrom
2.7795 -4.8511 0.0000
2.7795 4.8511 0.0000
-1.4521 0.0000 2.4558
! Symmetry   No. 12
! Fermi-level density of states   3.53 states/eV/cell
! M_tot   0.00 μB/cell
! Formation energy from the elements   10.71 kcal/mol of atoms